1.
A geometry-optimized Ta14TiTc structure. Source: the Alexandria database, functional PBE-GGA.

Cell lengths 5.714, 5.714, 9.295 Å; angles 90.00, 90.00, 108.95 degrees
Sites, in units of the cell vectors:
Ta  0.867  0.617  0.742
Ta  0.125  0.375  0.500
Ta  0.383  0.133  0.258
Ta  0.625  0.375  0.000
Ta  0.867  0.617  0.258
Ta  0.369  0.631  0.251
Ta  0.125  0.875  0.000
Ta  0.625  0.875  0.000
Ta  0.881  0.119  0.251
Ta  0.125  0.375  0.000
Ta  0.625  0.875  0.500
Ta  0.369  0.631  0.749
Ta  0.383  0.133  0.742
Ta  0.881  0.119  0.749
Ti  0.125  0.875  0.500
Tc  0.625  0.375  0.500

The space-group type is Cmmm (65).


2.
A geometry-optimized Ta2TiTc2 structure. Source: the Alexandria database, functional PBE-GGA.

Cell lengths 3.113, 3.122, 8.817 Å; angles 79.80, 90.00, 90.00 degrees
Sites, in units of the cell vectors:
Tc  0.500  0.590  0.819
Tc  0.500  0.410  0.181
Ta  0.000  0.820  0.360
Ta  0.000  0.180  0.640
Ti  0.000  0.000  0.000

The space-group type is Cmmm (65).


3.
A geometry-optimized TaTi3Tc2 structure. Source: the Alexandria database, functional PBE-GGA.

Cell lengths 3.112, 3.112, 9.823 Å; angles 90.00, 90.00, 90.00 degrees
Sites, in units of the cell vectors:
Tc  0.500  0.500  0.161
Tc  0.500  0.500  0.839
Ti  0.000  0.000  0.692
Ti  0.000  0.000  0.308
Ti  0.000  0.000  0.000
Ta  0.500  0.500  0.500

The space-group type is P4/mmm (123).


4.
A geometry-optimized TaTi4Tc structure. Source: the Alexandria database, functional PBE-GGA.

Cell lengths 4.514, 5.306, 5.368 Å; angles 62.96, 65.14, 64.82 degrees
Sites, in units of the cell vectors:
Ti  0.693  0.452  0.162
Ti  0.307  0.548  0.838
Ti  0.654  0.004  0.688
Ti  0.346  0.996  0.312
Tc  0.000  0.000  0.000
Ta  0.000  0.500  0.500

The space-group type is C2/m (12). The excess energy over the best structure of this formula in the dataset is 0 meV per atom.


5.
A geometry-optimized TaTi2Tc structure. Source: the Alexandria database, functional PBE-GGA.

Cell lengths 3.219, 4.487, 4.487 Å; angles 90.00, 90.00, 90.00 degrees
Sites, in units of the cell vectors:
Tc  0.500  0.500  0.500
Ta  0.500  0.000  0.000
Ti  0.000  0.000  0.500
Ti  0.000  0.500  0.000

The space-group type is P4/mmm (123). The excess energy over the best structure of this formula in the dataset is 129 meV per atom.


6.
A geometry-optimized Ta4Ti2Tc structure. Source: the Alexandria database, functional PBE-GGA.

Cell lengths 2.865, 7.954, 7.091 Å; angles 58.71, 77.95, 62.74 degrees
Sites, in units of the cell vectors:
Ti  0.052  0.855  0.724
Ti  0.948  0.145  0.276
Ta  0.141  0.277  0.572
Ta  0.326  0.413  0.863
Ta  0.859  0.723  0.428
Ta  0.674  0.587  0.137
Tc  0.000  0.000  0.000

The space-group type is P-1 (2).


Calculated total energy per entry: -184.99; -52.80; -58.24; -54.94; -38.55; -73.60 eV/f.u.
Energy of formation from the pure elements per entry: -49; -93; -328; -190; -136; -5 meV per atom